(1)
A relaxed Pm4HoAs5 crystal, computed with PBE.

Lattice parameters (Å, degrees): 9.4178 9.4178 5.9604 90.00 90.00 90.00
Closest atoms and distances in Å follow each position.
Space group I4/m (No. 87)
Symmetry-distinct sites (fractional):
Pm  0.0988  0.2999  0.0000 [8 per cell]  6 As 2.97-3.01
Ho  0.0000  0.0000  0.5000 [2 per cell]  6 As 2.94-2.98
As  0.0000  0.0000  0.0000 [2 per cell]  4 Pm 2.97, 2 Ho 2.98
As  0.0987  0.2957  0.5000 [8 per cell]  1 Ho 2.94, 5 Pm 2.98-3.01

Computed properties:
**ΔE_f**: -1.52 eV/atom
**Fermi-level density of states**: 0.066 states/eV per atom
**DFT total energy**: -6.2053 eV/atom
**Calculated volume**: 528.66 Å³/cell



(2)
A relaxed K3Os2O8 crystal, computed with PBE.

Lattice parameters (Å, degrees): 6.1595 6.1595 21.7040 90.00 90.00 120.00
Closest atoms and distances in Å follow each position.
Space group R-3m (No. 166, hexagonal axes)
Symmetry-distinct sites (fractional):
K  0.0000  0.0000  0.0000 [3 per cell]  6 O 2.85
K  0.0000  0.0000  0.1976 [6 per cell]  4 O 2.69-2.85
Os  0.0000  0.0000  0.4038 [6 per cell]  4 O 1.78-1.79
O  0.0000  0.0000  0.3216 [6 per cell]  1 Os 1.78
O  0.0177  0.5089  0.2344 [18 per cell]  1 Os 1.79

Computed properties:
**Fermi-level density of states**: 0.798 states/eV per atom
**DFT total energy**: -6.3725 eV/atom
**Calculated volume**: 713.12 Å³/cell



(3)
A relaxed Tc2AgHg crystal, computed with PBE.

Lattice parameters (Å, degrees): 2.8819 3.8792 6.0840 90.00 90.00 90.00
Closest atoms and distances in Å follow each position.
Space group Pmm2 (No. 25)
Symmetry-distinct sites (fractional):
Tc  0.0000  0.0000  0.0000 [1 per cell]  6 Tc 2.64-2.88, 1 Ag 2.75
Tc  0.5000  0.5000  0.1745 [1 per cell]  6 Tc 2.64-2.88, 1 Hg 2.83, 4 Ag 2.95
Ag  0.0000  0.0000  0.4525 [1 per cell]  5 Tc 2.75-2.95, 4 Hg 2.88, 2 Ag 2.88
Hg  0.5000  0.5000  0.7099 [1 per cell]  5 Tc 2.83-2.99, 4 Ag 2.88, 2 Hg 2.88

Computed properties:
**ΔE_f**: 0.42 eV/atom
**Fermi-level density of states**: 0.940 states/eV per atom
**DFT total energy**: -5.5519 eV/atom
**Calculated volume**: 68.02 Å³/cell



(4)
A relaxed LiTi2SF crystal, computed with PBE.

Lattice parameters (Å, degrees): 4.4508 4.4508 5.5512 90.00 90.00 90.00
Closest atoms and distances in Å follow each position.
Space group P4/mmm (No. 123)
Symmetry-distinct sites (fractional):
Li  0.0000  0.0000  0.0000 [1 per cell]  4 F 3.15
Ti  0.0000  0.5000  0.5000 [2 per cell]  2 S 2.23
S  0.5000  0.5000  0.5000 [1 per cell]  4 Ti 2.23
F  0.5000  0.5000  0.0000 [1 per cell]  2 S 2.78

Computed properties:
**Fermi-level density of states**: 1.034 states/eV per atom
**DFT total energy**: -5.0880 eV/atom
**Calculated volume**: 109.97 Å³/cell



(5)
A relaxed SrMgNp2O8 crystal, computed with PBE.

Lattice parameters (Å, degrees): 5.3759 5.3759 10.4454 90.00 90.00 90.00
Closest atoms and distances in Å follow each position.
Space group I-4 (No. 82)
Symmetry-distinct sites (fractional):
Sr  0.0000  0.0000  0.0000 [2 per cell]  8 O 2.38-2.54
Mg  0.0000  0.5000  0.7500 [2 per cell]  4 O 2.12
Np  0.0000  0.0000  0.5000 [2 per cell]  8 O 2.12-2.33
Np  0.0000  0.5000  0.2500 [2 per cell]  8 O 2.19-2.28
O  0.1963  0.7376  0.3872 [8 per cell]  2 Np 2.12-2.19
O  0.2196  0.7555  0.6451 [8 per cell]  1 Mg 2.12, 2 Np 2.28-2.33

Computed properties:
**Fermi-level density of states**: 0.857 states/eV per atom
**DFT total energy**: -8.3889 eV/atom
**Calculated volume**: 301.87 Å³/cell



(6)
A relaxed Sm2HoI crystal, computed with PBE.

Lattice parameters (Å, degrees): 3.8011 3.8011 31.7333 90.00 90.00 120.00
Closest atoms and distances in Å follow each position.
Space group R3m (No. 160, hexagonal axes)
Symmetry-distinct sites (fractional):
Sm  0.0000  0.0000  0.0000 [3 per cell]  3 I 3.34, 3 Ho 3.52
Sm  0.0000  0.0000  0.1746 [3 per cell]  3 I 3.34, 3 Ho 3.54
Ho  0.0000  0.0000  0.4202 [3 per cell]  6 Sm 3.52-3.54, 6 Ho 3.80
I  0.0000  0.0000  0.5871 [3 per cell]  6 Sm 3.34

Computed properties:
**Fermi-level density of states**: 1.574 states/eV per atom
**DFT total energy**: -4.2656 eV/atom
**Energy relative to the lowest polymorph listed for this composition**: 0 meV/atom
**Calculated volume**: 397.08 Å³/cell



(7)
A relaxed MoOsW2 crystal, computed with PBE.

Lattice parameters (Å, degrees): 5.7631 5.7631 11.4322 90.00 90.00 90.00
Closest atoms and distances in Å follow each position.
Space group I-42d (No. 122)
Symmetry-distinct sites (fractional):
Mo  0.0000  0.0000  0.0000 [4 per cell]  4 W 2.52
Os  0.0000  0.0000  0.5000 [4 per cell]  4 W 2.46
W  0.2398  0.2500  0.6250 [8 per cell]  2 Os 2.46, 2 Mo 2.52

Computed properties:
**ΔE_f**: 1.99 eV/atom
**Fermi-level density of states**: 1.357 states/eV per atom
**DFT total energy**: -9.9981 eV/atom
**Energy relative to the lowest polymorph listed for this composition**: 1858 meV/atom
**Calculated volume**: 379.70 Å³/cell



(8)
A relaxed La2PmEr5 crystal, computed with PBE.

Lattice parameters (Å, degrees): 3.5364 11.2325 13.1982 90.00 90.00 90.00
Closest atoms and distances in Å follow each position.
Space group Immm (No. 71)
Symmetry-distinct sites (fractional):
La  0.0000  0.0000  0.2409 [4 per cell]  7 Er 3.35-3.58, 2 La 3.54, 2 Pm 3.64
Pm  0.0000  0.5000  0.5000 [2 per cell]  2 Pm 3.54, 4 La 3.64, 8 Er 3.89
Er  0.0000  0.0000  0.5000 [2 per cell]  2 La 3.42, 10 Er 3.54-3.58
Er  0.0000  0.2682  0.1296 [8 per cell]  3 La 3.35-3.58, 7 Er 3.42-3.66

Computed properties:
**ΔE_f**: 0.07 eV/atom
**Fermi-level density of states**: 1.468 states/eV per atom
**DFT total energy**: -4.6101 eV/atom
**Energy relative to the lowest polymorph listed for this composition**: 35 meV/atom
**Calculated volume**: 524.26 Å³/cell



(9)
A relaxed Ca2LaNi crystal, computed with PBE.

Lattice parameters (Å, degrees): 3.5148 4.4895 16.1195 90.00 90.00 90.00
Closest atoms and distances in Å follow each position.
Space group Immm (No. 71)
Symmetry-distinct sites (fractional):
Ca  0.0000  0.0000  0.1663 [4 per cell]  2 Ni 3.20, 2 La 3.50, 2 Ca 3.51
La  0.0000  0.5000  0.0000 [2 per cell]  4 Ni 2.85
Ni  0.0000  0.5000  0.5000 [2 per cell]  4 La 2.85

Computed properties:
**ΔE_f**: -0.03 eV/atom
**Fermi-level density of states**: 0.912 states/eV per atom
**DFT total energy**: -3.7081 eV/atom
**Energy relative to the lowest polymorph listed for this composition**: 90 meV/atom
**Calculated volume**: 254.36 Å³/cell



(10)
A relaxed Mg2TaTe crystal, computed with PBE.

Lattice parameters (Å, degrees): 4.2680 4.2680 8.9849 90.00 90.00 90.00
Closest atoms and distances in Å follow each position.
Space group I-4m2 (No. 119)
Symmetry-distinct sites (fractional):
Mg  0.0000  0.0000  0.0000 [2 per cell]  4 Te 3.02, 4 Ta 3.10, 4 Mg 3.10
Mg  0.0000  0.5000  0.2500 [2 per cell]  4 Ta 3.02, 4 Te 3.10, 4 Mg 3.10
Ta  0.0000  0.5000  0.7500 [2 per cell]  8 Mg 3.02-3.10, 4 Te 3.10
Te  0.0000  0.0000  0.5000 [2 per cell]  8 Mg 3.02-3.10, 4 Ta 3.10

Computed properties:
**Fermi-level density of states**: 0.816 states/eV per atom
**DFT total energy**: -4.3261 eV/atom
**Calculated volume**: 163.67 Å³/cell